# 1
# BaSe SCAN PBEsol geometry
data_BaSe
_chemical_formula_sum 'Ba6 Se6'
_cell_length_a 4.244
_cell_length_b 13.658
_cell_length_c 7.859
_cell_angle_alpha 90.00
_cell_angle_beta 90.00
_cell_angle_gamma 90.00
_symmetry_space_group_name_H-M 'I m m 2'
_symmetry_Int_Tables_number 44
_symmetry_space_group_name_Hall 'I 2 -2'
loop_
_atom_site_label
_atom_site_type_symbol
_atom_site_fract_x
_atom_site_fract_y
_atom_site_fract_z
_atom_site_occupancy
Ba1 Ba 0.000 0.000 0.000 1
Ba2 Ba 0.000 0.153 0.489 1
Se1 Se 0.000 0.350 0.686 1
Se2 Se 0.000 0.500 0.174 1
# **Calculated total energy**: -383.2 eV/cell
# **Total magnetization**: 0.00 μB per cell

# 2
# BaSe SCAN PBEsol geometry
data_BaSe
_chemical_formula_sum 'Ba4 Se4'
_cell_length_a 6.577
_cell_length_b 6.577
_cell_length_c 6.577
_cell_angle_alpha 90.00
_cell_angle_beta 90.00
_cell_angle_gamma 90.00
_symmetry_space_group_name_H-M 'F m -3 m'
_symmetry_Int_Tables_number 225
_symmetry_space_group_name_Hall '-F 4 2 3'
loop_
_atom_site_label
_atom_site_type_symbol
_atom_site_fract_x
_atom_site_fract_y
_atom_site_fract_z
_atom_site_occupancy
Ba1 Ba 0.000 0.000 0.000 1
Se1 Se 0.000 0.000 0.500 1
# **Calculated total energy**: -257.1 eV/cell
# **Total magnetization**: 0.00 μB per cell

# 3
# BaSe2 SCAN PBEsol geometry
data_BaSe2
_chemical_formula_sum 'Ba4 Se8'
_cell_length_a 4.382
_cell_length_b 4.382
_cell_length_c 19.854
_cell_angle_alpha 90.00
_cell_angle_beta 90.00
_cell_angle_gamma 90.00
_symmetry_space_group_name_H-M 'I 41/a m d'
_symmetry_Int_Tables_number 141
loop_
_symmetry_equiv_pos_as_xyz
'x,y,z'
'-x,-y,-z'
'-y+1/4,x+3/4,z+1/4'
'y+1/4,-x+3/4,-z+1/4'
'-x+1/2,-y,z+1/2'
'x+1/2,y,-z+1/2'
'y+1/4,-x+1/4,z+3/4'
'-y+1/4,x+1/4,-z+3/4'
'x,-y,-z'
'-x,y,z'
'-y+1/4,-x+1/4,-z+3/4'
'y+1/4,x+1/4,z+3/4'
'-x+1/2,y,-z+1/2'
'x+1/2,-y,z+1/2'
'y+1/4,x+3/4,-z+1/4'
'-y+1/4,-x+3/4,z+1/4'
'x+1/2,y+1/2,z+1/2'
'-x+1/2,-y+1/2,-z+1/2'
'-y+3/4,x+1/4,z+3/4'
'y+3/4,-x+1/4,-z+3/4'
'-x,-y+1/2,z'
'x,y+1/2,-z'
'y+3/4,-x+3/4,z+1/4'
'-y+3/4,x+3/4,-z+1/4'
'x+1/2,-y+1/2,-z+1/2'
'-x+1/2,y+1/2,z+1/2'
'-y+3/4,-x+3/4,-z+1/4'
'y+3/4,x+3/4,z+1/4'
'-x,y+1/2,-z'
'x,-y+1/2,z'
'y+3/4,x+1/4,-z+3/4'
'-y+3/4,-x+1/4,z+3/4'
loop_
_atom_site_label
_atom_site_type_symbol
_atom_site_fract_x
_atom_site_fract_y
_atom_site_fract_z
_atom_site_occupancy
Ba1 Ba 0.000 0.250 0.375 1
Se1 Se 0.000 0.250 0.813 1
# **Calculated total energy**: -337.2 eV/cell
# **Total magnetization**: 0.00 μB per cell

# 4
# Ba4Se SCAN PBEsol geometry
data_Ba4Se
_chemical_formula_sum 'Ba8 Se2'
_cell_length_a 7.694
_cell_length_b 7.694
_cell_length_c 7.694
_cell_angle_alpha 90.00
_cell_angle_beta 90.00
_cell_angle_gamma 90.00
_symmetry_space_group_name_H-M 'I m -3 m'
_symmetry_Int_Tables_number 229
_symmetry_space_group_name_Hall '-I 4 2 3'
loop_
_atom_site_label
_atom_site_type_symbol
_atom_site_fract_x
_atom_site_fract_y
_atom_site_fract_z
_atom_site_occupancy
Ba1 Ba 0.250 0.250 0.250 1
Se1 Se 0.000 0.000 0.000 1
# **Calculated total energy**: -363.5 eV/cell
# **Total magnetization**: 0.00 μB per cell

# 5
# BaSe2 SCAN PBEsol geometry
data_BaSe2
_chemical_formula_sum 'Ba4 Se8'
_cell_length_a 12.975
_cell_length_b 4.531
_cell_length_c 7.042
_cell_angle_alpha 90.00
_cell_angle_beta 100.62
_cell_angle_gamma 90.00
_symmetry_space_group_name_H-M 'C 1 2/m 1'
_symmetry_Int_Tables_number 12
_symmetry_space_group_name_Hall '-C 2y'
loop_
_atom_site_label
_atom_site_type_symbol
_atom_site_fract_x
_atom_site_fract_y
_atom_site_fract_z
_atom_site_occupancy
Ba1 Ba 0.096 0.000 0.269 1
Se1 Se 0.084 0.500 0.907 1
Se2 Se 0.153 0.500 0.608 1
# **Calculated total energy**: -336.0 eV/cell
# **Total magnetization**: 0.00 μB per cell

# 6
# BaSe2 SCAN PBEsol geometry
data_BaSe2
_chemical_formula_sum 'Ba4 Se8'
_cell_length_a 9.538
_cell_length_b 4.890
_cell_length_c 9.275
_cell_angle_alpha 90.00
_cell_angle_beta 116.58
_cell_angle_gamma 90.00
_symmetry_space_group_name_H-M 'C 1 2/c 1'
_symmetry_Int_Tables_number 15
_symmetry_space_group_name_Hall '-C 2yc'
loop_
_atom_site_label
_atom_site_type_symbol
_atom_site_fract_x
_atom_site_fract_y
_atom_site_fract_z
_atom_site_occupancy
Ba1 Ba 0.000 0.121 0.250 1
Se1 Se 0.154 0.380 0.027 1
# **Calculated total energy**: -337.9 eV/cell
# **Total magnetization**: 0.00 μB per cell